{
  "formula": "LiTaMo2",
  "functional": "PBE",
  "state": "relaxed",
  "cell": [[0.000, 3.160, 3.160], [3.160, 0.000, 3.160], [3.160, 3.160, 0.000]],
  "species": ["Li", "Ta", "Mo", "Mo"],
  "frac_coords": [[0.000, 0.000, 0.000], [0.500, 0.500, 0.500], [0.750, 0.750, 0.750], [0.250, 0.250, 0.250]],
  "total_energy_ev_per_fu": -33.8,
  "delta_e_f_kj_per_mol_fu": 160,
  "de_polymorph_ev_per_atom": 0.2033
}

{
  "formula": "LiTaMo2",
  "functional": "PBE",
  "state": "relaxed",
  "cell": [[4.592, 0.000, 0.000], [0.000, 2.668, -0.008], [0.000, 0.889, 5.231]],
  "species": ["Mo", "Ta", "Li", "Mo"],
  "frac_coords": [[0.000, 0.535, 0.494], [0.500, 0.250, 0.250], [0.500, 0.750, 0.750], [0.000, 0.965, 0.006]],
  "total_energy_ev_per_fu": -34.3,
  "delta_e_f_kj_per_mol_fu": 104,
  "de_polymorph_ev_per_atom": 0.0595
}

{
  "formula": "Li2TaMo",
  "functional": "PBE",
  "state": "relaxed",
  "cell": [[-1.578, 2.901, -4.438], [-3.763, -1.736, -3.665], [0.795, 0.534, 5.449]],
  "species": ["Ta", "Li", "Li", "Mo"],
  "frac_coords": [[0.750, 0.250, 0.500], [0.500, 0.500, 0.000], [0.000, 0.000, 0.000], [0.250, 0.750, 0.500]],
  "total_energy_ev_per_fu": -24.7,
  "delta_e_f_kj_per_mol_fu": 176,
  "de_polymorph_ev_per_atom": 0.2573
}

{
  "formula": "LiTaMo2",
  "functional": "PBE",
  "state": "relaxed",
  "cell": [[-1.503, -2.597, -1.415], [3.691, -1.105, -1.892], [1.031, -2.481, 3.460]],
  "species": ["Li", "Ta", "Mo", "Mo"],
  "frac_coords": [[0.000, 0.500, 0.500], [0.500, 0.000, 0.500], [0.500, 0.500, 0.000], [0.000, 0.000, 0.000]],
  "total_energy_ev_per_fu": -34.2,
  "delta_e_f_kj_per_mol_fu": 115,
  "de_polymorph_ev_per_atom": 0.0858
}